1.
NdSmDy2Tm4: optimized geometry, PBE.

```
16
Lattice="9.297 -0.049 -1.754 -0.056 9.297 -1.754 -5.854 -5.858 8.294" Properties=species:S:1:pos:R:3 pbc="T T T"
Tm -3.520 -3.546 7.402
Dy 4.649 -0.025 -0.877
Tm 4.045 -0.663 2.389
Dy -2.927 -2.929 4.147
Sm 3.443 -5.907 6.540
Tm 6.907 6.936 -2.616
Tm 2.304 6.948 -1.750
Dy 1.722 -2.954 3.270
Dy 4.621 4.624 -1.754
Tm -0.657 4.053 2.396
Nd 6.342 1.670 1.516
Sm 1.694 1.695 2.393
Tm 4.004 4.031 1.501
Tm 1.084 -3.558 6.536
Nd -0.028 4.649 -0.877
Tm -0.617 -0.641 3.285
```

Computed properties:
Symmetry = Imma, No. 74
Magnetic moment = 5.6 μB/cell
ΔE_f = 0.437 eV/atom


2.
AcErPd6: optimized geometry, PBE.

```
8
Lattice="4.241 0.000 0.000 0.000 4.241 0.000 0.000 0.000 8.313" Properties=species:S:1:pos:R:3 pbc="T T T"
Pd 2.121 2.121 0.000
Pd 2.121 0.000 2.198
Pd 0.000 2.121 2.198
Pd 2.121 2.121 4.157
Ac 0.000 0.000 0.000
Pd 0.000 2.121 6.115
Pd 2.121 0.000 6.115
Er 0.000 0.000 4.157
```

Computed properties:
Symmetry = P4/mmm, No. 123
Magnetic moment = 0.0 μB/cell
ΔE_f = -0.803 eV/atom


3.
RbSn4Pb: optimized geometry, PBE.

```
6
Lattice="4.759 0.000 0.000 2.379 6.339 -1.822 2.379 0.112 6.595" Properties=species:S:1:pos:R:3 pbc="T T T"
Sn 7.138 3.423 4.680
Pb 4.759 3.226 2.387
Sn 7.138 5.476 1.904
Sn 2.379 3.029 0.094
Sn 2.379 0.975 2.869
Rb 0.000 0.000 0.000
```

Computed properties:
Energy above the lowest structure with this stoichiometry = 0.0 meV per atom
Symmetry = Immm, No. 71
Magnetic moment = 0.0 μB/cell
ΔE_f = -0.051 eV/atom


4.
Ho8Sb3Te4: optimized geometry, PBE.

```
15
Lattice="-8.550 -0.681 -0.204 4.257 -1.436 7.348 3.716 7.744 -0.628" Properties=species:S:1:pos:R:3 pbc="T T T"
Ho 3.855 5.381 1.426
Te 1.858 3.872 -0.314
Ho -0.422 5.076 1.292
Ho -2.588 4.002 4.782
Ho 1.780 4.323 4.856
Ho 4.117 0.927 5.294
Ho 2.010 1.625 1.734
Ho -2.359 1.303 1.660
Te 0.000 0.000 0.000
Sb -0.289 2.813 3.258
Sb -2.147 -1.059 3.572
Te -4.275 -0.341 -0.102
Te 2.128 -0.718 3.674
Sb -2.417 3.531 -0.416
Ho -0.156 0.551 5.224
```

Computed properties:
Symmetry = C2/m, No. 12
E = -0.19066 Ha/atom
Magnetic moment = 0.0 μB/cell


5.
Pr12Tm7In: optimized geometry, PBE.

```
20
Lattice="-7.821 1.211 -4.980 -0.129 -8.737 3.329 -0.425 5.792 7.329" Properties=species:S:1:pos:R:3 pbc="T T T"
Pr -1.944 -3.456 3.979
Tm -2.819 5.543 5.046
Tm -0.281 -6.039 5.252
In 0.000 0.000 0.000
Pr -2.926 -0.474 6.199
Tm -5.556 -7.277 0.631
Pr -6.021 1.001 5.338
Tm -8.094 4.306 0.425
Tm -4.188 -0.867 2.839
Tm -7.068 -1.609 -3.406
Pr -0.708 -0.171 3.551
Pr -5.449 -1.259 -0.521
Pr -3.303 2.501 3.793
Tm -1.307 -0.125 9.083
Pr -7.667 -1.562 2.127
Pr -3.229 1.604 0.375
Pr -6.431 1.722 1.699
Pr -2.354 -2.735 0.340
Pr -5.072 -4.235 1.884
Pr -5.146 -3.338 5.303
```

Computed properties:
Energy above the lowest structure with this stoichiometry = 0.0 meV per atom
Symmetry = R-3, No. 148
Magnetic moment = 0.0 μB/cell
ΔE_f = 0.081 eV/atom


6.
Sc2Cd2Cu: optimized geometry, PBE.

```
10
Lattice="7.079 0.000 0.000 0.000 7.079 0.000 0.000 0.000 4.556" Properties=species:S:1:pos:R:3 pbc="T T T"
Cd 4.596 6.023 2.278
Cd 2.483 1.056 2.278
Sc 5.978 4.641 0.000
Cu 0.000 0.000 0.000
Cd 6.023 2.483 2.278
Sc 2.438 5.978 0.000
Cd 1.056 4.596 2.278
Sc 4.641 1.102 0.000
Cu 3.540 3.540 0.000
Sc 1.102 2.438 0.000
```

Computed properties:
Energy above the lowest structure with this stoichiometry = 134.5 meV per atom
Symmetry = P4/mbm, No. 127
Magnetic moment = 0.0 μB/cell
ΔE_f = 0.095 eV/atom


Repeat the third record exactly.
RbSn4Pb: optimized geometry, PBE.

```
6
Lattice="4.759 0.000 0.000 2.379 6.339 -1.822 2.379 0.112 6.595" Properties=species:S:1:pos:R:3 pbc="T T T"
Sn 7.138 3.423 4.680
Pb 4.759 3.226 2.387
Sn 7.138 5.476 1.904
Sn 2.379 3.029 0.094
Sn 2.379 0.975 2.869
Rb 0.000 0.000 0.000
```

Computed properties:
Energy above the lowest structure with this stoichiometry = 0.0 meV per atom
Symmetry = Immm, No. 71
Magnetic moment = 0.0 μB/cell
ΔE_f = -0.051 eV/atom